# 1
# Er2Tm2Os

An optimized crystal structure of Er2Tm2Os (PBE, Alexandria via LeMat-Bulk).

a = 7.296 Å, b = 6.974 Å, c = 7.602 Å
α = 74.16°, β = 58.55°, γ = 58.46°
Positions (direct):
1 Tm 0.977 0.443 0.244
2 Tm 0.023 0.557 0.756
3 Tm 0.420 0.557 0.244
4 Tm 0.580 0.443 0.756
5 Os 0.872 0.256 0.000
6 Os 0.128 0.744 0.000
7 Er 0.644 0.000 0.099
8 Er 0.839 0.000 0.390
9 Er 0.161 0.000 0.610
10 Er 0.356 0.000 0.901

Formation energy (eV/atom): -0.13
Crystal system: monoclinic
DOS(E_F) (states/eV per cell): 12.4

# 2
# Er3Tl4Te8As

An optimized crystal structure of Er3Tl4Te8As (PBE, Alexandria via LeMat-Bulk).

a = 8.798 Å, b = 9.589 Å, c = 8.798 Å
α = 117.32°, β = 120.00°, γ = 90.00°
Positions (direct):
1 Er 0.500 0.500 0.000
2 Er 0.500 0.500 0.500
3 Er 0.000 0.500 0.500
4 As 0.000 0.500 0.000
5 Te 0.771 0.295 0.025
6 Te 0.230 0.705 0.459
7 Te 0.254 0.295 0.025
8 Te 0.746 0.705 0.975
9 Te 0.262 0.287 0.524
10 Te 0.738 0.713 0.476
11 Te 0.770 0.295 0.541
12 Te 0.229 0.705 0.975
13 Tl 0.500 0.000 0.000
14 Tl 0.000 0.000 0.500
15 Tl 0.000 0.000 0.000
16 Tl 0.500 0.000 0.500

Raw formation energy (eV per atom): -0.7949
Crystal system: trigonal
DOS(E_F) (states/eV per cell): 0.3

# 3
# Na2NbFeSn

An optimized crystal structure of Na2NbFeSn (PBE, Alexandria via LeMat-Bulk).

a = 5.196 Å, b = 4.775 Å, c = 5.196 Å
α = 90.00°, β = 90.00°, γ = 90.00°
Positions (direct):
1 Sn 0.000 0.000 0.000
2 Fe 0.000 0.500 0.000
3 Nb 0.500 0.500 0.500
4 Na 0.000 0.000 0.500
5 Na 0.500 0.000 0.000

Formation energy (eV/atom): 1.69
Crystal system: tetragonal
DOS(E_F) (states/eV per cell): 13.0

# 4
# ZnNi3H2

An optimized crystal structure of ZnNi3H2 (PBE, Alexandria via LeMat-Bulk).

a = 3.593 Å, b = 3.586 Å, c = 7.860 Å
α = 90.00°, β = 90.00°, γ = 90.00°
Positions (direct):
1 H 0.250 0.750 0.962
2 H 0.750 0.250 0.462
3 H 0.250 0.750 0.538
4 H 0.750 0.250 0.038
5 Ni 0.250 0.250 0.500
6 Ni 0.750 0.750 0.500
7 Ni 0.250 0.750 0.750
8 Ni 0.750 0.750 0.000
9 Ni 0.750 0.250 0.250
10 Ni 0.250 0.250 0.000
11 Zn 0.250 0.750 0.250
12 Zn 0.750 0.250 0.750

Crystal system: tetragonal
ΔE to the lowest computed polymorph (meV/atom): 0
DOS(E_F) (states/eV per cell): 5.3

# 5
# Ti6CoPd3

An optimized crystal structure of Ti6CoPd3 (PBE, Alexandria via LeMat-Bulk).

a = 6.446 Å, b = 6.268 Å, c = 6.268 Å
α = 57.52°, β = 63.40°, γ = 63.40°
Positions (direct):
1 Co 0.500 0.500 0.500
2 Ti 0.643 0.341 0.837
3 Ti 0.357 0.163 0.659
4 Ti 0.357 0.659 0.163
5 Ti 0.643 0.837 0.341
6 Ti 0.154 0.730 0.730
7 Ti 0.846 0.270 0.270
8 Pd 0.000 0.000 0.000
9 Pd 0.260 0.245 0.245
10 Pd 0.740 0.755 0.755

Formation energy (eV/atom): 0.01
Crystal system: monoclinic
DOS(E_F) (states/eV per cell): 13.6

# 6
# KNpMnTe3

An optimized crystal structure of KNpMnTe3 (PBE, Alexandria via LeMat-Bulk).

a = 4.493 Å, b = 9.690 Å, c = 10.332 Å
α = 107.48°, β = 90.00°, γ = 90.00°
Positions (direct):
1 Np 0.250 0.673 0.149
2 Np 0.750 0.327 0.851
3 K 0.750 0.797 0.763
4 K 0.250 0.203 0.237
5 Te 0.250 0.542 0.835
6 Te 0.750 0.212 0.531
7 Te 0.250 0.106 0.861
8 Te 0.750 0.458 0.165
9 Te 0.250 0.788 0.469
10 Te 0.750 0.894 0.139
11 Mn 0.250 0.082 0.594
12 Mn 0.750 0.918 0.406

Raw formation energy (eV per atom): -0.6368
Crystal system: monoclinic
DOS(E_F) (states/eV per cell): 22.2

# 7
# Zr3CdTc

An optimized crystal structure of Zr3CdTc (PBE, Alexandria via LeMat-Bulk).

a = 5.111 Å, b = 5.111 Å, c = 5.111 Å
α = 90.00°, β = 90.00°, γ = 90.00°
Positions (direct):
1 Cd 0.000 0.000 0.000
2 Zr 0.000 0.000 0.500
3 Zr 0.000 0.500 0.000
4 Zr 0.500 0.000 0.000
5 Tc 0.500 0.500 0.500

Formation energy (eV/atom): 1.66
Crystal system: cubic
ΔE to the lowest computed polymorph (meV/atom): 1263
DOS(E_F) (states/eV per cell): 8.9

# 8
# Tb2NiP3Pt4

An optimized crystal structure of Tb2NiP3Pt4 (PBE, Alexandria via LeMat-Bulk).

a = 4.193 Å, b = 4.193 Å, c = 9.724 Å
α = 90.00°, β = 90.00°, γ = 90.00°
Positions (direct):
1 Tb 0.000 0.500 0.746
2 Tb 0.500 0.000 0.254
3 Pt 0.500 0.000 0.628
4 Pt 0.000 0.000 0.000
5 Pt 0.000 0.500 0.372
6 Pt 0.500 0.500 0.000
7 P 0.000 0.500 0.135
8 P 0.000 0.000 0.500
9 P 0.500 0.000 0.865
10 Ni 0.500 0.500 0.500

Formation energy (eV/atom): -0.88
Crystal system: tetragonal
DOS(E_F) (states/eV per cell): 6.5

# 9
# KHfSN2

An optimized crystal structure of KHfSN2 (PBE, Alexandria via LeMat-Bulk).

a = 4.363 Å, b = 4.363 Å, c = 5.053 Å
α = 90.00°, β = 90.00°, γ = 90.00°
Positions (direct):
1 K 0.500 0.500 0.500
2 Hf 0.000 0.000 0.000
3 S 0.000 0.000 0.500
4 N 0.000 0.500 0.000
5 N 0.500 0.000 0.000

Raw formation energy (eV per atom): -0.2282
Crystal system: tetragonal
ΔE to the lowest computed polymorph (meV/atom): 0
DOS(E_F) (states/eV per cell): 1.4

# 10
# K2YOs

An optimized crystal structure of K2YOs (PBE, Alexandria via LeMat-Bulk).

a = 10.681 Å, b = 10.681 Å, c = 4.494 Å
α = 77.97°, β = 77.97°, γ = 17.99°
Positions (direct):
1 Y 0.250 0.250 0.250
2 Os 0.750 0.750 0.750
3 K 0.099 0.099 0.899
4 K 0.401 0.401 0.601

Formation energy (eV/atom): 0.51
Crystal system: monoclinic
ΔE to the lowest computed polymorph (meV/atom): 6
DOS(E_F) (states/eV per cell): 3.2

# 11
# GaFeOsPb2

An optimized crystal structure of GaFeOsPb2 (PBE, Alexandria via LeMat-Bulk).

a = 5.241 Å, b = 4.902 Å, c = 5.241 Å
α = 90.00°, β = 90.00°, γ = 90.00°
Positions (direct):
1 Os 0.000 0.000 0.000
2 Pb 0.000 0.000 0.500
3 Pb 0.500 0.000 0.000
4 Ga 0.500 0.500 0.500
5 Fe 0.000 0.500 0.000

Formation energy (eV/atom): 0.85
Crystal system: tetragonal
DOS(E_F) (states/eV per cell): 4.3

Please write out number 10 again, unchanged.
# K2YOs

An optimized crystal structure of K2YOs (PBE, Alexandria via LeMat-Bulk).

a = 10.681 Å, b = 10.681 Å, c = 4.494 Å
α = 77.97°, β = 77.97°, γ = 17.99°
Positions (direct):
1 Y 0.250 0.250 0.250
2 Os 0.750 0.750 0.750
3 K 0.099 0.099 0.899
4 K 0.401 0.401 0.601

Formation energy (eV/atom): 0.51
Crystal system: monoclinic
ΔE to the lowest computed polymorph (meV/atom): 6
DOS(E_F) (states/eV per cell): 3.2

Number 6 is which compound?
KNpMnTe3

Look up the DOS(E_F) of the seventh one.
8.9 states/eV per cell